No. 1
A plane-wave DFT calculation with GGA-PBE was carried out for crystalline Pa6S12I at its relaxed geometry.

Properties
Energy ... -7.190 eV/atom
Raw formation energy ... -1.50 eV per atom

Cell and atoms, written as POSCAR:
```
Pa6S12I
1.0
-3.9652 5.9780 -3.6806
-5.7980 -5.2354 1.9951
2.2321 3.2053 7.0534
Pa S I
6 12 1
Direct
0.6625 0.2492 0.2492
0.2492 0.2492 0.6625
0.2492 0.6625 0.2492
0.7508 0.7508 0.3375
0.3375 0.7508 0.7508
0.7508 0.3375 0.7508
0.8707 0.1293 0.5000
0.8130 0.5478 0.5478
0.5478 0.5478 0.8130
0.4522 0.1870 0.4522
0.4522 0.4522 0.1870
0.1870 0.4522 0.4522
0.1293 0.5000 0.8707
0.5000 0.8707 0.1293
0.1293 0.8707 0.5000
0.8707 0.5000 0.1293
0.5000 0.1293 0.8707
0.5478 0.8130 0.5478
0.0000 0.0000 0.0000
```

=====

No. 2
A plane-wave DFT calculation with GGA-PBE was carried out for crystalline SmTmMnAl at its relaxed geometry.

Properties
Energy ... -5.585 eV/atom
Formation energy ... -59 meV/atom

Cell and atoms, written as POSCAR:
```
SmTmMnAl
1.0
5.0942 0.0000 0.0000
2.5471 4.4117 0.0000
2.5471 1.4706 4.1594
Mn Tm Al Sm
1 1 1 1
Direct
0.0000 0.0000 0.0000
0.2500 0.2500 0.2500
0.5000 0.5000 0.5000
0.7500 0.7500 0.7500
```

=====

No. 3
A plane-wave DFT calculation with GGA-PBE was carried out for crystalline ZrPa6Co3 at its relaxed geometry.

Properties
Energy ... -8.774 eV/atom
Formation energy ... -90 meV/atom

Cell and atoms, written as POSCAR:
```
ZrPa6Co3
1.0
6.5974 0.0000 0.0000
0.0000 8.0201 -0.6152
0.0000 -0.0882 8.0431
Zr Pa Co
2 12 6
Direct
0.1147 0.2386 0.7614
0.6147 0.7614 0.2386
0.0666 0.6945 0.6959
0.5666 0.6959 0.6945
0.3192 0.5247 0.9960
0.8192 0.9960 0.5247
0.2716 0.9543 0.0457
0.6289 0.3243 0.6757
0.1289 0.6757 0.3243
0.7716 0.0457 0.9543
0.3192 0.0040 0.4753
0.8192 0.4753 0.0040
0.0666 0.3041 0.3055
0.5666 0.3055 0.3041
0.4468 0.0087 0.7584
0.9468 0.7584 0.0087
0.3049 0.4292 0.5708
0.8049 0.5708 0.4292
0.9468 0.9913 0.2416
0.4468 0.2416 0.9913
```

=====

No. 4
A plane-wave DFT calculation with GGA-PBE was carried out for crystalline SnRuF2 at its relaxed geometry.

Properties
Distance to the lowest polymorph of the same formula ... 0 meV/atom
Energy ... -5.097 eV/atom
Raw formation energy ... -0.84 eV per atom

Cell and atoms, written as POSCAR:
```
SnRuF2
1.0
1.7108 0.0000 8.1360
-0.8554 1.4816 8.1360
-0.8554 -1.4816 8.1360
Ru Sn F
1 1 2
Direct
0.0000 0.0000 0.0000
0.5000 0.5000 0.5000
0.9173 0.9173 0.9173
0.0827 0.0827 0.0827
```

=====

No. 5
A plane-wave DFT calculation with GGA-PBE was carried out for crystalline Bi2SbPb at its relaxed geometry.

Properties
Distance to the lowest polymorph of the same formula ... 48 meV/atom
Energy ... -3.769 eV/atom
Raw formation energy ... 0.13 eV per atom

Cell and atoms, written as POSCAR:
```
Bi2SbPb
1.0
4.0629 0.0000 0.0000
0.0000 5.4951 0.0000
0.0000 0.0000 5.4951
Pb Sb Bi
1 1 2
Direct
0.5000 0.5000 0.5000
0.5000 0.0000 0.0000
0.0000 0.0000 0.5000
0.0000 0.5000 0.0000
```

=====

No. 6
A plane-wave DFT calculation with GGA-PBE was carried out for crystalline RbNb3Fe at its relaxed geometry.

Properties
Distance to the lowest polymorph of the same formula ... 1945 meV/atom
Energy ... -4.735 eV/atom
Formation energy ... 3193 meV/atom

Cell and atoms, written as POSCAR:
```
RbNb3Fe
1.0
-4.2006 -1.0347 1.9201
-1.8228 -0.6227 -4.3234
1.1977 -4.5765 0.1542
Nb Fe Rb
3 1 1
Direct
0.0000 0.5000 0.0000
0.0000 0.0000 0.5000
0.5000 0.0000 0.0000
0.5000 0.5000 0.5000
0.0000 0.0000 0.0000
```

=====

No. 7
A plane-wave DFT calculation with GGA-PBE was carried out for crystalline YSc2Ni at its relaxed geometry.

Properties
Distance to the lowest polymorph of the same formula ... 341 meV/atom
Energy ... -6.141 eV/atom
Formation energy ... 86 meV/atom

Cell and atoms, written as POSCAR:
```
YSc2Ni
1.0
4.9577 0.0000 0.0000
2.4788 4.2935 0.0000
2.4788 1.4312 4.0479
Ni Sc Y
1 2 1
Direct
0.5000 0.5000 0.5000
0.0000 0.0000 0.0000
0.7500 0.7500 0.7500
0.2500 0.2500 0.2500
```

=====

No. 8
A plane-wave DFT calculation with GGA-PBE was carried out for crystalline Ce2GaPt at its relaxed geometry.

Properties
Energy ... -5.996 eV/atom
Formation energy ... -762 meV/atom

Cell and atoms, written as POSCAR:
```
Ce2GaPt
1.0
4.2214 0.0000 0.0000
0.0000 5.9512 -0.2475
0.0000 -2.4562 7.8965
Ce Ga Pt
4 2 2
Direct
0.7500 0.1922 0.4118
0.2500 0.8078 0.5882
0.7500 0.7183 0.9396
0.2500 0.2817 0.0604
0.7500 0.6357 0.2946
0.2500 0.3643 0.7054
0.7500 0.1279 0.7950
0.2500 0.8721 0.2050
```

=====

No. 9
A plane-wave DFT calculation with GGA-PBE was carried out for crystalline Zn2Ge2Te at its relaxed geometry.

Properties
Distance to the lowest polymorph of the same formula ... 0 meV/atom
Energy ... -2.795 eV/atom
Raw formation energy ... 0.19 eV per atom

Cell and atoms, written as POSCAR:
```
Zn2Ge2Te
1.0
3.8774 0.0000 0.0000
0.0000 3.8774 0.0000
1.9387 1.9387 6.8105
Ge Te Zn
2 1 2
Direct
0.7500 0.2500 0.5000
0.2500 0.7500 0.5000
0.0000 0.0000 0.0000
0.4033 0.4033 0.1934
0.5967 0.5967 0.8066
```

=====

No. 10
A plane-wave DFT calculation with GGA-PBE was carried out for crystalline La3HfGe6 at its relaxed geometry.

Properties
Energy ... -5.890 eV/atom
Formation energy ... -646 meV/atom

Cell and atoms, written as POSCAR:
```
La3HfGe6
1.0
-1.5913 7.2632 -2.4924
3.2742 -2.6415 -6.6182
-7.1411 -3.0388 -1.1262
La Hf Ge
6 2 12
Direct
0.1810 0.7500 0.3190
0.3190 0.1810 0.7500
0.2500 0.6810 0.8190
0.7500 0.3190 0.1810
0.6810 0.8190 0.2500
0.8190 0.2500 0.6810
0.0000 0.0000 0.0000
0.5000 0.5000 0.5000
0.9088 0.6339 0.9841
0.0159 0.0912 0.3661
0.1339 0.4088 0.4842
0.3661 0.0159 0.0912
0.4088 0.4842 0.1339
0.5158 0.8661 0.5912
0.4842 0.1339 0.4088
0.5912 0.5158 0.8661
0.6339 0.9841 0.9088
0.8661 0.5912 0.5158
0.9841 0.9088 0.6339
0.0912 0.3661 0.0159
```

=====

No. 11
A plane-wave DFT calculation with GGA-PBE was carried out for crystalline Ti2SnHAu at its relaxed geometry.

Properties
Distance to the lowest polymorph of the same formula ... 1581 meV/atom
Energy ... -4.025 eV/atom

Cell and atoms, written as POSCAR:
```
Ti2SnHAu
1.0
5.0445 0.0000 0.0000
0.0000 5.0573 0.0000
0.0000 0.0000 5.0445
H Au Sn Ti
1 1 1 2
Direct
0.5000 0.5000 0.5000
0.0000 0.0000 0.0000
0.0000 0.5000 0.0000
0.0000 0.0000 0.5000
0.5000 0.0000 0.0000
```

=====

No. 12
A plane-wave DFT calculation with GGA-PBE was carried out for crystalline Co2OsRh at its relaxed geometry.

Properties
Distance to the lowest polymorph of the same formula ... 30 meV/atom
Energy ... -8.057 eV/atom
Formation energy ... 141 meV/atom

Cell and atoms, written as POSCAR:
```
Co2OsRh
1.0
-3.3056 2.8714 -0.9117
-1.5877 -4.1452 -0.5477
-0.7371 -0.0500 2.5151
Co Os Rh
2 1 1
Direct
0.0000 0.0000 0.0000
0.5000 0.5000 0.0000
0.5000 0.0000 0.5000
0.0000 0.5000 0.5000
```